Record 1
GePdAu14: relaxed, PBE.

abc: 9.6786 5.7352 10.3411
angles: 90.00 90.00 90.00
Last column: nearest neighbours and their distance in Å.
Space group Amm2 (No. 38)
One atom of each set of equivalent atoms:
Ge (0.0000, 0.0000, 0.0000) (multiplicity 2)  2 Pd 2.87, 10 Au 2.91-2.97
Pd (0.0000, 0.0000, 0.5025) (multiplicity 2)  2 Ge 2.87, 10 Au 2.92-2.96
Au (0.0000, 0.2488, 0.2512) (multiplicity 4)  8 Au 2.85-2.94, 2 Pd 2.95-2.96, 2 Ge 2.95-2.96
Au (0.2475, 0.0000, 0.6664) (multiplicity 4)  11 Au 2.87-2.98, 1 Pd 2.93
Au (0.2465, 0.2499, 0.4180) (multiplicity 8)  10 Au 2.87-2.98, 1 Ge 2.91, 1 Pd 2.92
Au (0.2498, 0.0000, 0.1670) (multiplicity 4)  11 Au 2.87-2.97, 1 Ge 2.97
Au (0.5000, 0.0000, 0.3322) (multiplicity 2)  12 Au 2.87-2.98
Au (0.5000, 0.0000, 0.8320) (multiplicity 2)  12 Au 2.87-2.98
Au (0.5000, 0.2504, 0.0821) (multiplicity 4)  12 Au 2.86-2.98

Properties
E: -3.48 eV/atom
Formation enthalpy at 0 K: -1 meV/atom

Record 2
CePrZn6: relaxed, PBE.

abc: 4.4232 6.6701 10.9922
angles: 90.00 90.00 90.00
Last column: nearest neighbours and their distance in Å.
Space group Amm2 (No. 38)
One atom of each set of equivalent atoms:
Ce (0.0000, 0.0000, 0.0000) (multiplicity 2)  12 Zn 3.04-3.34
Pr (0.5000, 0.0000, 0.3116) (multiplicity 2)  12 Zn 3.09-3.34
Zn (0.0000, 0.0000, 0.5078) (multiplicity 2)  6 Zn 2.72-2.81
Zn (0.0000, 0.2018, 0.7321) (multiplicity 4)  6 Zn 2.69-2.81
Zn (0.5000, 0.0000, 0.8102) (multiplicity 2)  6 Zn 2.73-2.92, 2 Ce 3.04
Zn (0.5000, 0.2082, 0.5769) (multiplicity 4)  6 Zn 2.72-2.92

Properties
E: -2.55 eV/atom
Formation enthalpy at 0 K: -253 meV/atom

Record 3
BiCSeN2: relaxed, PBE.

abc: 4.0186 4.0186 4.0485
angles: 90.00 90.00 90.00
Last column: nearest neighbours and their distance in Å.
Space group P4/mmm (No. 123)
One atom of each set of equivalent atoms:
Bi (0.0000, 0.0000, 0.0000) (multiplicity 1)  4 Se 2.84, 8 N 2.85
C (0.5000, 0.5000, 0.5000) (multiplicity 1)  4 N 2.01, 2 Se 2.02
Se (0.5000, 0.5000, 0.0000) (multiplicity 1)  2 C 2.02
N (0.0000, 0.5000, 0.5000) (multiplicity 2)  2 C 2.01

Properties
Offset from the most stable computed form: 0.00 eV/f.u.
E: -4.52 eV/atom
Raw formation energy: 49.04 kcal/mol of atoms

Record 4
LuZnGePd: relaxed, PBE.

abc: 6.6091 6.6091 6.6091
angles: 90.00 90.00 90.00
Last column: nearest neighbours and their distance in Å.
Space group F-43m (No. 216)
One atom of each set of equivalent atoms:
Lu (0.0000, 0.0000, 0.0000) (multiplicity 4)  4 Ge 2.86, 4 Pd 2.86
Zn (0.0000, 0.0000, 0.5000) (multiplicity 4)  4 Pd 2.86, 4 Ge 2.86
Ge (0.2500, 0.2500, 0.7500) (multiplicity 4)  4 Zn 2.86, 4 Lu 2.86
Pd (0.2500, 0.2500, 0.2500) (multiplicity 4)  4 Lu 2.86, 4 Zn 2.86

Properties
E: -4.42 eV/atom
Formation enthalpy at 0 K: -514 meV/atom

Record 5
Ce2PrInIr: relaxed, PBE.

abc: 5.3395 5.3395 5.7920
angles: 90.00 90.00 90.00
Last column: nearest neighbours and their distance in Å.
Space group P4mm (No. 99)
One atom of each set of equivalent atoms:
Ce (0.0000, 0.5000, 0.0000) (multiplicity 2)  2 Ir 2.67
Pr (0.0000, 0.0000, 0.5004) (multiplicity 1)  2 Ir 2.90
In (0.5000, 0.5000, 0.5016) (multiplicity 1)  4 Pr 3.78, 8 Ce 3.93-3.95
Ir (0.0000, 0.0000, 0.0005) (multiplicity 1)  4 Ce 2.67, 2 Pr 2.90

Properties
E: -5.96 eV/atom
Formation enthalpy at 0 K: -309 meV/atom

Record 6
Rb2LiSe: relaxed, PBE.

abc: 5.5166 5.5166 22.7887
angles: 90.00 90.00 90.00
Last column: nearest neighbours and their distance in Å.
Space group I-42d (No. 122)
One atom of each set of equivalent atoms:
Rb (0.2128, 0.2500, 0.1250) (multiplicity 8)  2 Se 3.38, 2 Li 3.54, 2 Rb 3.62
Li (0.0000, 0.0000, 0.5000) (multiplicity 4)  4 Rb 3.54, 4 Se 3.90
Se (0.0000, 0.0000, 0.0000) (multiplicity 4)  4 Rb 3.38

Properties
E: -2.05 eV/atom
Raw formation energy: -4.99 kcal/mol of atoms